[1]
Below is an optimized crystal structure of YTlPt, with properties calculated at the GGA-PBE level.

POSCAR file:
```
YTlPt
1.0
4.8426 0.0000 0.0000
2.4213 4.1938 0.0000
2.4213 1.3979 3.9539
Tl Y Pt
1 1 1
direct
0.5000 0.5000 0.5000 Tl
0.7500 0.7500 0.7500 Y
0.0000 0.0000 0.0000 Pt
```

Values from the calculation:
- space group = F-43m

[2]
Below is an optimized crystal structure of TcIr2Rh, with properties calculated at the GGA-PBE level.

POSCAR file:
```
TcIr2Rh
1.0
2.7221 0.0000 0.0000
0.0000 3.8876 0.0000
0.0000 0.0000 5.4415
Ir Rh Tc
2 1 1
direct
0.5000 0.5000 0.2503 Ir
0.0000 0.0000 0.9966 Ir
0.0000 0.0000 0.5019 Rh
0.5000 0.5000 0.7512 Tc
```

Values from the calculation:
- space group = Pmm2

no.,ΔE_f (kJ/mol of formula units)
1,-69
2,-37